A plane-wave DFT calculation with PBE was carried out for InRe after structural relaxation.

The space group is P6_3/mmc (No. 194) and the conventional cell measures 8.1812, 8.1812 and 4.4084 Å, with angles of 90.00, 90.00 and 120.00 degrees. The distinct sites, in fractional coordinates, are In at (0.1881, 0.3762, 0.2500) and Re at (0.1184, 0.5592, 0.7500).

The total energy is -14.34 eV per formula unit. For the energy relative to the lowest polymorph listed for this composition, the calculation gives 227 meV per atom. The formation energy is 424 meV/atom.

A plane-wave DFT calculation with PBE was carried out for InRe after structural relaxation.

The space group is P-3m1 (No. 164) and the conventional cell measures 2.9037, 2.9037 and 10.6981 Å, with angles of 90.00, 90.00 and 120.00 degrees. The distinct sites, in fractional coordinates, are In at (0.3333, 0.6667, 0.1672) and Re at (0.3333, 0.6667, 0.5947).

The total energy is -14.39 eV per formula unit. For the energy relative to the lowest polymorph listed for this composition, the calculation gives 201 meV per atom. The formation energy is 398 meV/atom.

A plane-wave DFT calculation with PBE was carried out for In5Re3 after structural relaxation.

The space group is Cmmm (No. 65) and the conventional cell measures 7.966, 8.838 and 4.427 Å, with angles of 90.00, 90.00 and 90.00 degrees. The distinct sites, in fractional coordinates, are In at (0.000, 0.000, 0.000), In at (0.000, 0.221, 0.500), In at (0.250, 0.250, 0.000), Re at (0.000, 0.500, 0.000) and Re at (0.187, 0.500, 0.500).

The total energy is -45.57 eV per formula unit. For the energy relative to the lowest polymorph listed for this composition, the calculation gives 0 meV per atom. The formation energy is 683 meV/atom.

A plane-wave DFT calculation with PBE was carried out for InRe2 after structural relaxation.

The space group is I4/mcm (No. 140) and the conventional cell measures 6.439, 6.439 and 5.107 Å, with angles of 90.00, 90.00 and 90.00 degrees. The distinct sites, in fractional coordinates, are In at (0.000, 0.000, 0.250) and Re at (0.130, 0.370, 0.000).

The total energy is -24.71 eV per formula unit. The formation energy is 976 meV/atom.